Record 1
DFT (GGA-PBE) results for a geometry-optimized NbCd2AgRu structure.

The structure in POSCAR format:
```
NbCd2AgRu
1.0
5.176 0.000 0.000
0.000 5.176 0.000
0.000 0.000 4.635
Nb Cd Ag Ru
1 2 1 1
direct
0.000 0.000 0.000 Nb
0.000 0.500 0.500 Cd
0.500 0.000 0.500 Cd
0.500 0.500 0.000 Ag
0.000 0.000 0.500 Ru
```

Output
- space group = P4/mmm
- formation energy (eV/atom) = 0.768
- magnetization (Bohr magnetons per cell) = 0.44
- calculated volume (A^3/atom) = 24.8

=====

Record 2
DFT (GGA-PBE) results for a geometry-optimized NbCd2AgRu structure.

The structure in POSCAR format:
```
NbCd2AgRu
1.0
5.047 0.000 0.000
0.000 5.047 0.000
0.000 0.000 5.003
Nb Cd Ag Ru
1 2 1 1
direct
0.000 0.000 0.000 Nb
0.000 0.500 0.500 Cd
0.500 0.000 0.500 Cd
0.500 0.500 0.000 Ag
0.500 0.500 0.500 Ru
```

Output
- space group = P4/mmm
- formation energy (eV/atom) = 1.370
- magnetization (Bohr magnetons per cell) = 2.70
- calculated volume (A^3/atom) = 25.5

=====

Record 3
DFT (GGA-PBE) results for a geometry-optimized NbCdAg2S structure.

The structure in POSCAR format:
```
NbCdAg2S
1.0
5.151 0.000 0.000
0.000 5.151 0.000
0.000 0.000 5.471
Nb Cd Ag S
1 1 2 1
direct
0.000 0.000 0.000 Nb
0.000 0.000 0.500 Cd
0.000 0.500 0.000 Ag
0.500 0.000 0.000 Ag
0.500 0.500 0.500 S
```

Output
- space group = P4/mmm
- E_form (uncorrected) (kJ/mol of formula units) = 742
- magnetization (Bohr magnetons per cell) = 0.00
- calculated volume (A^3/atom) = 29.0

=====

Record 4
DFT (GGA-PBE) results for a geometry-optimized Nd2Cd15Ag2 structure.

The structure in POSCAR format:
```
Nd2Cd15Ag2
1.0
5.013 2.894 4.974
-5.013 2.894 4.974
0.000 -5.789 4.974
Nd Cd Ag
2 15 2
direct
0.168 0.168 0.168 Nd
0.832 0.832 0.832 Nd
0.000 0.500 0.500 Cd
0.141 0.141 0.658 Cd
0.141 0.658 0.141 Cd
0.205 0.500 0.795 Cd
0.205 0.795 0.500 Cd
0.342 0.859 0.859 Cd
0.500 0.000 0.500 Cd
0.500 0.205 0.795 Cd
0.500 0.500 0.000 Cd
0.500 0.795 0.205 Cd
0.658 0.141 0.141 Cd
0.795 0.205 0.500 Cd
0.795 0.500 0.205 Cd
0.859 0.342 0.859 Cd
0.859 0.859 0.342 Cd
0.397 0.397 0.397 Ag
0.603 0.603 0.603 Ag
```

Output
- space group = R-3m
- formation energy (eV/atom) = -0.144
- magnetization (Bohr magnetons per cell) = 0.00
- calculated volume (A^3/atom) = 22.8

=====

Among the records above, which one has the highest calculated volume?
NbCdAg2S

=====

Which value of calculated volume does entry 4 give?
22.8 A^3/atom

=====

Copy entry 1 word for word.
DFT (GGA-PBE) results for a geometry-optimized NbCd2AgRu structure.

The structure in POSCAR format:
```
NbCd2AgRu
1.0
5.176 0.000 0.000
0.000 5.176 0.000
0.000 0.000 4.635
Nb Cd Ag Ru
1 2 1 1
direct
0.000 0.000 0.000 Nb
0.000 0.500 0.500 Cd
0.500 0.000 0.500 Cd
0.500 0.500 0.000 Ag
0.000 0.000 0.500 Ru
```

Output
- space group = P4/mmm
- formation energy (eV/atom) = 0.768
- magnetization (Bohr magnetons per cell) = 0.44
- calculated volume (A^3/atom) = 24.8